La5NdO6 PBE optimized geometry; formation energy (no corrections) = -2.838 eV/atom
1.0
6.2292 0.1587 0.9500
1.5392 5.2691 3.0735
0.1099 0.0524 6.2938
Nd O La
1 6 5
Cartesian
0.0000 0.0000 0.0000 Nd
4.8597 0.5665 3.0479 O
2.4725 3.1539 4.1213 O
1.9233 1.3409 0.9946 O
5.8452 4.0869 3.0290 O
5.4059 2.3263 6.1961 O
3.0186 4.9138 7.2694 O
3.4450 0.9949 5.1787 La
0.5505 1.7768 3.1169 La
3.8842 2.7139 2.0118 La
1.0987 3.5447 6.2504 La
4.4333 4.4853 5.1387 La

***

La2NdO4 PBE optimized geometry; formation energy (no corrections) = -3.064 eV/atom
1.0
6.5416 0.0970 -0.1680
-2.0881 6.2002 0.1680
-2.3655 -3.0505 5.2849
La Nd O
4 2 8
Cartesian
4.3940 -0.7459 2.3771 La
1.1232 0.6279 3.2820 La
-1.2619 3.2542 4.1870 La
-0.0792 3.3571 0.7236 La
0.0000 0.0000 0.0000 Nd
3.2708 2.4102 1.2792 Nd
-1.8939 4.3810 2.0846 O
1.3166 3.1800 2.7509 O
3.4650 1.6606 3.8131 O
-0.8746 -1.0634 4.6475 O
2.4993 4.6378 0.0696 O
2.3962 -1.0823 4.5246 O
2.3573 0.0148 1.2097 O
-0.9135 1.2584 2.0395 O

***

La3NdO PBE optimized geometry; formation energy (no corrections) = -1.141 eV/atom
1.0
-3.7278 3.3139 1.4346
-2.8851 -3.9732 1.6811
2.1717 0.4100 4.6960
Nd O La
1 1 3
Cartesian
-2.2206 -0.1247 3.9059 Nd
0.0000 0.0000 0.0000 O
-1.4426 -1.9866 0.8406 La
1.0859 0.2050 2.3480 La
-1.8639 1.6570 0.7173 La